No. 1
DFT (GGA-PBE) results for AcPrH after structural relaxation.

Cell and atoms, written as POSCAR:
```
AcPrH
1.0
3.9027 0.0000 0.0000
-1.9514 3.3798 0.0000
0.0000 0.0000 6.1911
Pr H Ac
1 1 1
Direct
0.6667 0.3333 0.4345
0.3333 0.6667 0.6506
0.0000 0.0000 0.9149
```

Results
magnetization = 0.000 μB/atom
density of states at the Fermi level = 1.19 states/eV/atom
polymorph energy (0 for the lowest one) = 0.00 eV per formula unit
E = -4.244 eV/atom

=====

No. 2
DFT (GGA-PBE) results for Er4CdIn3 after structural relaxation.

Cell and atoms, written as POSCAR:
```
Er4CdIn3
1.0
-2.2298 -1.3705 2.6559
-0.8077 -2.9140 -2.1818
11.4938 -7.5096 5.7745
In Cd Er
3 1 4
Direct
0.5000 0.5000 0.5000
0.5000 0.5000 0.2468
0.5000 0.5000 0.7532
0.5000 0.5000 0.0000
0.0000 0.0000 0.8779
0.0000 0.0000 0.6264
0.0000 0.0000 0.3736
0.0000 0.0000 0.1221
```

Results
magnetization = 0.000 μB/atom
energy relative to the elements = -320 kJ/mol of formula units
density of states at the Fermi level = 0.75 states/eV/atom
polymorph energy (0 for the lowest one) = 0.00 eV per formula unit
E = -3.837 eV/atom

=====

No. 3
DFT (GGA-PBE) results for La2Ta3S2O8 after structural relaxation.

Cell and atoms, written as POSCAR:
```
La2Ta3S2O8
1.0
7.6998 0.0000 0.0000
0.0000 9.9642 0.0000
0.0000 0.0000 11.8966
O Ta La S
32 12 8 8
Direct
0.2555 0.0562 0.3970
0.7346 0.1970 0.9750
0.2500 0.2131 0.7234
0.0000 0.6511 0.9508
0.2500 0.7869 0.2766
0.0000 0.3489 0.0492
0.2346 0.6970 0.5250
0.7500 0.7869 0.2766
0.7346 0.8030 0.0250
0.5000 0.8489 0.4508
0.7500 0.2131 0.7234
0.2654 0.8030 0.0250
0.2445 0.4438 0.8970
0.7555 0.4438 0.8970
0.5000 0.3660 0.0537
0.7445 0.0562 0.3970
0.2346 0.3030 0.4750
0.7500 0.2869 0.2234
0.7654 0.3030 0.4750
0.2445 0.5562 0.1030
0.0000 0.1340 0.5537
0.2500 0.2869 0.2234
0.5000 0.1511 0.5492
0.0000 0.8660 0.4463
0.7654 0.6970 0.5250
0.7555 0.5562 0.1030
0.5000 0.6340 0.9463
0.7445 0.9438 0.6030
0.2555 0.9438 0.6030
0.2654 0.1970 0.9750
0.7500 0.7131 0.7766
0.2500 0.7131 0.7766
0.7136 0.0000 0.0000
0.7502 0.3636 0.0809
0.2502 0.8636 0.4191
0.7502 0.6364 0.9191
0.7864 0.5000 0.5000
0.2498 0.6364 0.9191
0.7498 0.1364 0.5809
0.2502 0.1364 0.5809
0.7498 0.8636 0.4191
0.2136 0.5000 0.5000
0.2864 0.0000 0.0000
0.2498 0.3636 0.0809
0.5000 0.7701 0.6547
0.5000 0.2299 0.3453
0.5000 0.7069 0.1644
0.0000 0.7931 0.6644
0.0000 0.2701 0.8453
0.0000 0.7299 0.1547
0.5000 0.2931 0.8356
0.0000 0.2069 0.3356
0.0000 0.4821 0.6532
0.5000 0.0179 0.1532
0.5000 0.4811 0.6322
0.0000 0.5179 0.3468
0.5000 0.5189 0.3678
0.5000 0.9821 0.8468
0.0000 0.0189 0.1322
0.0000 0.9811 0.8678
```

Results
magnetization = 0.000 μB/atom
energy relative to the elements, uncorrected = -2.819 eV per atom
E = -9.041 eV/atom

=====

No. 4
DFT (GGA-PBE) results for CoPbCl2 after structural relaxation.

Cell and atoms, written as POSCAR:
```
CoPbCl2
1.0
0.7290 -4.9243 0.3069
-3.7242 -3.1431 -1.0608
0.1714 -2.7590 -4.1512
Co Pb Cl
1 1 2
Direct
0.0000 0.0000 0.0000
0.5000 0.5000 0.5000
0.2500 0.2500 0.2500
0.7500 0.7500 0.7500
```

Results
magnetization = 0.460 μB/atom
density of states at the Fermi level = 3.28 states/eV/atom
energy relative to the elements, uncorrected = 0.187 eV per atom
polymorph energy (0 for the lowest one) = 2.34 eV per formula unit
E = -3.440 eV/atom

=====

No. 5
DFT (GGA-PBE) results for Ta2FeB3 after structural relaxation.

Cell and atoms, written as POSCAR:
```
Ta2FeB3
1.0
-3.6226 -1.4417 2.5675
2.7094 -3.3604 1.7777
2.0622 5.9475 2.0843
Fe Ta B
2 4 6
Direct
0.6673 0.6673 0.3345
0.3327 0.3327 0.6655
0.7500 0.2500 0.5000
0.2551 0.2551 0.0000
0.2500 0.7500 0.5000
0.7449 0.7449 0.0000
0.3142 0.8433 0.1576
0.8433 0.3142 0.1576
0.6858 0.1567 0.8424
0.1567 0.6858 0.8424
0.1549 0.1549 0.3097
0.8451 0.8451 0.6903
```

Results
magnetization = 0.000 μB/atom
energy relative to the elements = -254 kJ/mol of formula units
density of states at the Fermi level = 0.38 states/eV/atom
E = -9.138 eV/atom

=====

No. 6
DFT (GGA-PBE) results for HfPRhCl2 after structural relaxation.

Cell and atoms, written as POSCAR:
```
HfPRhCl2
1.0
4.5606 0.0000 0.0000
0.0000 4.5606 0.0000
0.0000 0.0000 4.9004
Cl Hf P Rh
2 1 1 1
Direct
0.0000 0.5000 0.0000
0.5000 0.0000 0.0000
0.5000 0.5000 0.5000
0.0000 0.0000 0.5000
0.0000 0.0000 0.0000
```

Results
magnetization = 0.141 μB/atom
density of states at the Fermi level = 0.45 states/eV/atom
energy relative to the elements, uncorrected = 0.271 eV per atom
polymorph energy (0 for the lowest one) = 1.22 eV per formula unit
E = -5.011 eV/atom

=====

No. 7
DFT (GGA-PBE) results for Ac3Ag2Se6 after structural relaxation.

Cell and atoms, written as POSCAR:
```
Ac3Ag2Se6
1.0
5.0530 0.0000 0.0000
0.0000 5.0530 0.0000
-2.5265 -2.5265 12.1509
Se Ag Ac
6 2 3
Direct
0.5828 0.0828 0.1656
0.4172 0.9172 0.8344
0.9172 0.4172 0.8344
0.7018 0.7018 0.4035
0.0828 0.5828 0.1656
0.2982 0.2982 0.5965
0.5625 0.5625 0.1250
0.4375 0.4375 0.8750
0.8251 0.8251 0.6502
0.1749 0.1749 0.3498
0.0000 0.0000 0.0000
```

Results
magnetization = 0.000 μB/atom
density of states at the Fermi level = 0.13 states/eV/atom
energy relative to the elements, uncorrected = -1.296 eV per atom
E = -4.836 eV/atom

=====

No. 8
DFT (GGA-PBE) results for SrPm2Sb after structural relaxation.

Cell and atoms, written as POSCAR:
```
SrPm2Sb
1.0
5.0617 0.0000 0.0000
0.0000 4.9952 0.0000
0.0000 0.0000 4.9952
Pm Sb Sr
2 1 1
Direct
0.0000 0.5000 0.0000
0.0000 0.0000 0.5000
0.5000 0.5000 0.5000
0.5000 0.0000 0.0000
```

Results
magnetization = 0.041 μB/atom
density of states at the Fermi level = 1.25 states/eV/atom
energy relative to the elements, uncorrected = -0.390 eV per atom
polymorph energy (0 for the lowest one) = 0.00 eV per formula unit
E = -4.216 eV/atom

=====

No. 9
DFT (GGA-PBE) results for Re3PbO after structural relaxation.

Cell and atoms, written as POSCAR:
```
Re3PbO
1.0
4.2358 0.0000 0.0000
0.0000 4.2358 0.0000
0.0000 0.0000 4.2358
Re O Pb
3 1 1
Direct
0.5000 0.0000 0.0000
0.0000 0.5000 0.0000
0.0000 0.0000 0.5000
0.0000 0.0000 0.0000
0.5000 0.5000 0.5000
```

Results
magnetization = 0.390 μB/atom
density of states at the Fermi level = 1.20 states/eV/atom
energy relative to the elements, uncorrected = 0.987 eV per atom
polymorph energy (0 for the lowest one) = 0.00 eV per formula unit
E = -8.215 eV/atom

=====

No. 10
DFT (GGA-PBE) results for Tb5Rh2Pb after structural relaxation.

Cell and atoms, written as POSCAR:
```
Tb5Rh2Pb
1.0
7.0866 0.0000 -3.3453
-1.5791 6.9084 -3.3453
-0.2000 -0.2508 8.7552
Tb Rh Pb
10 4 2
Direct
0.7919 0.9766 0.2684
0.4766 0.2919 0.2684
0.2081 0.0234 0.7316
0.2919 0.7919 0.2684
0.9766 0.4766 0.2684
0.0000 0.0000 0.0000
0.0234 0.5234 0.7316
0.5234 0.7081 0.7316
0.5000 0.5000 0.0000
0.7081 0.2081 0.7316
0.6398 0.1398 0.0000
0.1398 0.3602 0.0000
0.8602 0.6398 0.0000
0.3602 0.8602 0.0000
0.7500 0.7500 0.5000
0.2500 0.2500 0.5000
```

Results
magnetization = 0.000 μB/atom
energy relative to the elements = -497 kJ/mol of formula units
density of states at the Fermi level = 1.08 states/eV/atom
E = -5.840 eV/atom

=====

No. 11
DFT (GGA-PBE) results for LaMgZn2 after structural relaxation.

Cell and atoms, written as POSCAR:
```
LaMgZn2
1.0
-2.5801 1.5192 3.7412
2.6483 -2.7148 2.9288
5.8483 6.3541 4.5217
La Zn Mg
2 4 2
Direct
0.0000 0.0000 0.0000
0.7500 0.2500 0.5000
0.4750 0.1250 0.2500
0.2750 0.6250 0.2500
0.3750 0.5250 0.7500
0.8750 0.7250 0.7500
0.2500 0.7500 0.5000
0.5000 0.5000 0.0000
```

Results
magnetization = 0.000 μB/atom
energy relative to the elements = 9 kJ/mol of formula units
density of states at the Fermi level = 0.57 states/eV/atom
E = -2.245 eV/atom

=====

No. 12
DFT (GGA-PBE) results for MgNbReSn after structural relaxation.

Cell and atoms, written as POSCAR:
```
MgNbReSn
1.0
-4.1603 -0.2890 -2.1362
-1.4983 -0.1281 2.9353
3.2810 9.6175 2.0945
Nb Mg Sn Re
2 2 2 2
Direct
0.6921 0.0000 0.3608
0.6921 0.5000 0.8608
0.8782 0.0000 0.1232
0.8782 0.5000 0.6232
0.3553 0.5000 0.1027
0.3553 0.0000 0.6027
0.2171 0.5000 0.3649
0.2171 0.0000 0.8649
```

Results
magnetization = 0.000 μB/atom
energy relative to the elements = 75 kJ/mol of formula units
density of states at the Fermi level = 0.55 states/eV/atom
polymorph energy (0 for the lowest one) = 0.80 eV per formula unit
E = -6.834 eV/atom

=====

No. 13
DFT (GGA-PBE) results for Pu2AgAu2 after structural relaxation.

Cell and atoms, written as POSCAR:
```
Pu2AgAu2
1.0
-2.9428 2.4827 -2.8791
-2.7038 -3.7604 3.5420
1.3549 7.6363 5.1978
Pu Ag Au
4 2 4
Direct
0.1645 0.3287 0.0714
0.8355 0.6713 0.9286
0.9510 0.9019 0.6395
0.0490 0.0981 0.3605
0.7340 0.4681 0.3095
0.2660 0.5319 0.6905
0.6355 0.2710 0.5923
0.3645 0.7290 0.4077
0.5342 0.0680 0.8632
0.4658 0.9320 0.1368
```

Results
magnetization = 2.401 μB/atom
energy relative to the elements = -124 kJ/mol of formula units
density of states at the Fermi level = 3.65 states/eV/atom
polymorph energy (0 for the lowest one) = 0.12 eV per formula unit
E = -7.871 eV/atom

=====

No. 14
DFT (GGA-PBE) results for Ac4OsRhBr2 after structural relaxation.

Cell and atoms, written as POSCAR:
```
Ac4OsRhBr2
1.0
4.3434 0.0000 0.0000
0.0000 7.4967 0.1218
0.0000 -2.6465 8.2229
Rh Br Ac Os
1 2 4 1
Direct
0.0000 0.0000 0.0000
0.0000 0.5000 0.5000
0.5000 0.0000 0.5000
0.5000 0.2362 0.1939
0.0000 0.7273 0.1948
0.5000 0.7638 0.8061
0.0000 0.2727 0.8052
0.5000 0.5000 0.0000
```

Results
magnetization = 0.000 μB/atom
density of states at the Fermi level = 0.42 states/eV/atom
energy relative to the elements, uncorrected = -0.951 eV per atom
E = -5.746 eV/atom

=====

No. 15
DFT (GGA-PBE) results for Tb4ErAgS8 after structural relaxation.

Cell and atoms, written as POSCAR:
```
Tb4ErAgS8
1.0
8.0578 0.0000 0.0000
4.0289 6.9783 0.0000
4.0289 2.3261 6.5411
S Tb Er Ag
8 4 1 1
Direct
0.2406 0.7734 0.7454
0.7607 0.7607 0.2553
0.2233 0.7607 0.2553
0.7607 0.2233 0.2553
0.7583 0.7583 0.7252
0.7734 0.2406 0.7454
0.2426 0.2426 0.2723
0.2406 0.2406 0.7454
0.4873 0.0042 0.5044
0.6244 0.6244 0.1267
0.0042 0.0042 0.5044
0.0042 0.4873 0.5044
0.0044 0.0044 0.9868
0.3755 0.3755 0.8736
```

Results
magnetization = 0.000 μB/atom
density of states at the Fermi level = 0.00 states/eV/atom
energy relative to the elements, uncorrected = -1.828 eV per atom
E = -6.039 eV/atom

=====

No. 16
DFT (GGA-PBE) results for Dy3GaRu after structural relaxation.

Cell and atoms, written as POSCAR:
```
Dy3GaRu
1.0
5.5857 0.1398 -1.1682
-2.5209 4.9864 -1.1683
-0.0568 -0.0961 8.5126
Dy Ga Ru
6 2 2
Direct
0.3047 0.8048 0.1094
0.7088 0.5789 0.2876
0.6953 0.1952 0.8906
0.2912 0.4211 0.7124
0.9212 0.7912 0.7124
0.0788 0.2088 0.2876
0.6947 0.1947 0.5000
0.3053 0.8053 0.5000
0.7500 0.7500 0.0000
0.2500 0.2500 0.0000
```

Results
magnetization = 0.000 μB/atom
energy relative to the elements = -218 kJ/mol of formula units
density of states at the Fermi level = 0.68 states/eV/atom
polymorph energy (0 for the lowest one) = 0.00 eV per formula unit
E = -5.673 eV/atom

=====

No. 17
DFT (GGA-PBE) results for Ba2SnBiIr after structural relaxation.

Cell and atoms, written as POSCAR:
```
Ba2SnBiIr
1.0
-0.9843 -0.5744 -6.5548
-3.6795 -3.2362 0.8361
-4.3639 5.0174 0.2157
Sn Ir Bi Ba
1 1 1 2
Direct
0.5000 0.5000 0.5000
0.0000 0.5000 0.0000
0.0000 0.0000 0.0000
0.5000 0.0000 0.0000
0.0000 0.0000 0.5000
```

Results
magnetization = 0.000 μB/atom
energy relative to the elements = 118 kJ/mol of formula units
density of states at the Fermi level = 0.89 states/eV/atom
E = -3.874 eV/atom

=====

No. 18
DFT (GGA-PBE) results for LiLa2I after structural relaxation.

Cell and atoms, written as POSCAR:
```
LiLa2I
1.0
-1.6809 -2.2475 2.4462
1.4037 -0.4064 3.4243
-6.8455 8.3751 5.8241
La Li I
2 1 1
Direct
0.9048 0.9048 0.2855
0.0952 0.0952 0.7145
0.0000 0.0000 0.0000
0.5000 0.5000 0.5000
```

Results
magnetization = 0.049 μB/atom
density of states at the Fermi level = 1.48 states/eV/atom
energy relative to the elements, uncorrected = -0.188 eV per atom
polymorph energy (0 for the lowest one) = 0.34 eV per formula unit
E = -3.518 eV/atom

=====

No. 19
DFT (GGA-PBE) results for GaCuSO after structural relaxation.

Cell and atoms, written as POSCAR:
```
GaCuSO
1.0
3.6300 0.0000 0.0000
0.0000 3.6300 0.0000
0.0000 0.0000 8.2719
Cu O S Ga
2 2 2 2
Direct
0.5000 0.5000 0.5000
0.0000 0.0000 0.5000
0.0000 0.0000 0.0000
0.5000 0.5000 0.0000
0.0000 0.5000 0.6802
0.5000 0.0000 0.3198
0.0000 0.5000 0.1074
0.5000 0.0000 0.8926
```

Results
magnetization = 0.000 μB/atom
density of states at the Fermi level = 0.33 states/eV/atom
energy relative to the elements, uncorrected = -0.623 eV per atom
E = -4.675 eV/atom

=====

No. 20
DFT (GGA-PBE) results for CaAl2 after structural relaxation.

Cell and atoms, written as POSCAR:
```
CaAl2
1.0
7.2381 0.0000 0.0000
0.0000 7.2381 0.0000
0.0000 0.0000 7.2381
Al Ca
8 4
Direct
0.6022 0.6022 0.3978
0.3978 0.1022 0.1022
0.8978 0.3978 0.8978
0.1022 0.6022 0.1022
0.8978 0.1022 0.3978
0.1022 0.8978 0.6022
0.6022 0.8978 0.8978
0.3978 0.3978 0.6022
0.0000 0.5000 0.5000
0.5000 0.5000 0.0000
0.5000 0.0000 0.5000
0.0000 0.0000 0.0000
```

Results
magnetization = 0.000 μB/atom
energy relative to the elements = 194 kJ/mol of formula units
density of states at the Fermi level = 0.93 states/eV/atom
E = -2.493 eV/atom